(1)
# CrNiPb | Alexandria via LeMat-Bulk | GGA-PBE | optimized geometry
# magnetic moment = 4.26 Bohr magnetons per cell
# polymorph energy (0 for the lowest one) = 0.15 eV per formula unit
# formation enthalpy at 0 K = 0.465 eV/atom
# Fermi-level density of states = 1.9 states/eV/f.u.
data_CrNiPb
_chemical_formula_sum 'Cr1 Ni1 Pb1'
_space_group_name_H-M_alt 'P 1'
_space_group_IT_number 1
_cell_length_a 5.005
_cell_length_b 5.005
_cell_length_c 5.005
_cell_angle_alpha 139.72
_cell_angle_beta 139.72
_cell_angle_gamma 58.27
loop_
_space_group_symop_operation_xyz
'x,y,z'
loop_
_atom_site_label
_atom_site_fract_x
_atom_site_fract_y
_atom_site_fract_z
_atom_site_occupancy
Ni1 0.342 0.342 0.000 1
Pb1 0.671 0.671 0.000 1
Cr1 0.987 0.987 0.000 1

=====

(2)
# CrNiPb | Alexandria via LeMat-Bulk | GGA-PBE | optimized geometry
# magnetic moment = 3.21 Bohr magnetons per cell
# polymorph energy (0 for the lowest one) = 0.00 eV per formula unit
# formation enthalpy at 0 K = 0.416 eV/atom
# Fermi-level density of states = 4.0 states/eV/f.u.
data_CrNiPb
_chemical_formula_sum 'Cr1 Ni1 Pb1'
_space_group_name_H-M_alt 'P 1'
_space_group_IT_number 1
_cell_length_a 4.286
_cell_length_b 4.286
_cell_length_c 4.286
_cell_angle_alpha 60.00
_cell_angle_beta 60.00
_cell_angle_gamma 60.00
loop_
_space_group_symop_operation_xyz
'x,y,z'
loop_
_atom_site_label
_atom_site_fract_x
_atom_site_fract_y
_atom_site_fract_z
_atom_site_occupancy
Ni1 0.750 0.750 0.750 1
Cr1 0.500 0.500 0.500 1
Pb1 0.000 0.000 0.000 1

=====

(3)
# CrNiPb2 | Alexandria via LeMat-Bulk | GGA-PBE | optimized geometry
# magnetic moment = 3.56 Bohr magnetons per cell
# polymorph energy (0 for the lowest one) = 0.23 eV per formula unit
# formation enthalpy at 0 K = 0.384 eV/atom
# Fermi-level density of states = 3.1 states/eV/f.u.
data_CrNiPb2
_chemical_formula_sum 'Cr1 Ni1 Pb2'
_space_group_name_H-M_alt 'P 1'
_space_group_IT_number 1
_cell_length_a 4.139
_cell_length_b 3.820
_cell_length_c 5.560
_cell_angle_alpha 70.02
_cell_angle_beta 90.00
_cell_angle_gamma 90.00
loop_
_space_group_symop_operation_xyz
'x,y,z'
loop_
_atom_site_label
_atom_site_fract_x
_atom_site_fract_y
_atom_site_fract_z
_atom_site_occupancy
Cr1 0.000 0.694 0.488 1
Ni1 0.500 0.555 0.765 1
Pb1 0.000 0.979 0.918 1
Pb2 0.500 0.273 0.329 1

=====

(4)
# CrNiPb2 | Alexandria via LeMat-Bulk | GGA-PBE | optimized geometry
# magnetic moment = 8.10 Bohr magnetons per cell
# polymorph energy (0 for the lowest one) = 1.04 eV per formula unit
# formation enthalpy at 0 K = 0.587 eV/atom
# Fermi-level density of states = 1.8 states/eV/f.u.
data_CrNiPb2
_chemical_formula_sum 'Cr2 Ni2 Pb4'
_space_group_name_H-M_alt 'P 1'
_space_group_IT_number 1
_cell_length_a 7.636
_cell_length_b 7.636
_cell_length_c 6.215
_cell_angle_alpha 52.10
_cell_angle_beta 52.10
_cell_angle_gamma 90.00
loop_
_space_group_symop_operation_xyz
'x,y,z'
loop_
_atom_site_label
_atom_site_fract_x
_atom_site_fract_y
_atom_site_fract_z
_atom_site_occupancy
Cr1 0.500 0.500 0.000 1
Cr2 0.250 0.750 0.500 1
Pb1 0.663 0.125 0.250 1
Pb2 0.375 0.337 0.750 1
Pb3 0.875 0.913 0.750 1
Pb4 0.087 0.625 0.250 1
Ni1 0.000 0.000 0.000 1
Ni2 0.750 0.250 0.500 1

=====

(5)
# CrNiPtPb2 | Alexandria via LeMat-Bulk | GGA-PBE | optimized geometry
# magnetic moment = 5.52 Bohr magnetons per cell
# formation enthalpy at 0 K = 0.841 eV/atom
# Fermi-level density of states = 6.0 states/eV/f.u.
data_CrNiPtPb2
_chemical_formula_sum 'Cr1 Ni1 Pt1 Pb2'
_space_group_name_H-M_alt 'P 1'
_space_group_IT_number 1
_cell_length_a 5.322
_cell_length_b 4.770
_cell_length_c 5.322
_cell_angle_alpha 90.00
_cell_angle_beta 90.00
_cell_angle_gamma 90.00
loop_
_space_group_symop_operation_xyz
'x,y,z'
loop_
_atom_site_label
_atom_site_fract_x
_atom_site_fract_y
_atom_site_fract_z
_atom_site_occupancy
Ni1 0.000 0.500 0.000 1
Pt1 0.000 0.000 0.000 1
Pb1 0.000 0.000 0.500 1
Pb2 0.500 0.000 0.000 1
Cr1 0.500 0.500 0.500 1

=====

(6)
# CrNiPbS3 | Alexandria via LeMat-Bulk | GGA-PBE | optimized geometry
# magnetic moment = 4.49 Bohr magnetons per cell
# energy relative to the elements, uncorrected = -0.480 eV/atom
# Fermi-level density of states = 2.3 states/eV/f.u.
data_CrNiPbS3
_chemical_formula_sum 'Cr2 Ni2 Pb2 S6'
_space_group_name_H-M_alt 'P 1'
_space_group_IT_number 1
_cell_length_a 3.658
_cell_length_b 7.563
_cell_length_c 8.607
_cell_angle_alpha 108.48
_cell_angle_beta 90.00
_cell_angle_gamma 90.00
loop_
_space_group_symop_operation_xyz
'x,y,z'
loop_
_atom_site_label
_atom_site_fract_x
_atom_site_fract_y
_atom_site_fract_z
_atom_site_occupancy
Ni1 0.750 0.914 0.400 1
Ni2 0.250 0.086 0.600 1
S1 0.250 0.542 0.864 1
S2 0.250 0.116 0.870 1
S3 0.750 0.884 0.130 1
S4 0.750 0.231 0.551 1
S5 0.750 0.458 0.136 1
S6 0.250 0.769 0.449 1
Pb1 0.750 0.791 0.741 1
Pb2 0.250 0.209 0.259 1
Cr1 0.750 0.322 0.841 1
Cr2 0.250 0.678 0.159 1

=====

(7)
# CrTc2NiPb | Alexandria via LeMat-Bulk | GGA-PBE | optimized geometry
# magnetic moment = 0.49 Bohr magnetons per cell
# formation enthalpy at 0 K = 2.633 eV/atom
# Fermi-level density of states = 14.2 states/eV/f.u.
data_CrTc2NiPb
_chemical_formula_sum 'Cr1 Tc2 Ni1 Pb1'
_space_group_name_H-M_alt 'P 1'
_space_group_IT_number 1
_cell_length_a 4.961
_cell_length_b 4.533
_cell_length_c 4.961
_cell_angle_alpha 90.00
_cell_angle_beta 90.00
_cell_angle_gamma 90.00
loop_
_space_group_symop_operation_xyz
'x,y,z'
loop_
_atom_site_label
_atom_site_fract_x
_atom_site_fract_y
_atom_site_fract_z
_atom_site_occupancy
Cr1 0.500 0.500 0.500 1
Tc1 0.500 0.000 0.000 1
Tc2 0.000 0.000 0.500 1
Ni1 0.000 0.500 0.000 1
Pb1 0.000 0.000 0.000 1

=====

(8)
# VCrNi2Pb | Alexandria via LeMat-Bulk | GGA-PBE | optimized geometry
# magnetic moment = 1.64 Bohr magnetons per cell
# formation enthalpy at 0 K = 0.900 eV/atom
# Fermi-level density of states = 5.0 states/eV/f.u.
data_VCrNi2Pb
_chemical_formula_sum 'V1 Cr1 Ni2 Pb1'
_space_group_name_H-M_alt 'P 1'
_space_group_IT_number 1
_cell_length_a 4.518
_cell_length_b 4.286
_cell_length_c 4.518
_cell_angle_alpha 90.00
_cell_angle_beta 90.00
_cell_angle_gamma 90.00
loop_
_space_group_symop_operation_xyz
'x,y,z'
loop_
_atom_site_label
_atom_site_fract_x
_atom_site_fract_y
_atom_site_fract_z
_atom_site_occupancy
Pb1 0.500 0.500 0.500 1
Cr1 0.000 0.500 0.000 1
Ni1 0.000 0.000 0.500 1
Ni2 0.500 0.000 0.000 1
V1 0.000 0.000 0.000 1

=====

(9)
# YCr2NiPb | Alexandria via LeMat-Bulk | GGA-PBE | optimized geometry
# magnetic moment = 8.73 Bohr magnetons per cell
# formation enthalpy at 0 K = 1.051 eV/atom
# Fermi-level density of states = 4.3 states/eV/f.u.
data_YCr2NiPb
_chemical_formula_sum 'Y1 Cr2 Ni1 Pb1'
_space_group_name_H-M_alt 'P 1'
_space_group_IT_number 1
_cell_length_a 5.139
_cell_length_b 4.782
_cell_length_c 5.139
_cell_angle_alpha 90.00
_cell_angle_beta 90.00
_cell_angle_gamma 90.00
loop_
_space_group_symop_operation_xyz
'x,y,z'
loop_
_atom_site_label
_atom_site_fract_x
_atom_site_fract_y
_atom_site_fract_z
_atom_site_occupancy
Ni1 0.000 0.500 0.000 1
Cr1 0.000 0.000 0.500 1
Cr2 0.500 0.000 0.000 1
Pb1 0.000 0.000 0.000 1
Y1 0.500 0.500 0.500 1

=====

(10)
# CrNi2Pd | Alexandria via LeMat-Bulk | GGA-PBE | optimized geometry
# magnetic moment = 4.43 Bohr magnetons per cell
# formation enthalpy at 0 K = 0.433 eV/atom
# Fermi-level density of states = 5.1 states/eV/f.u.
data_CrNi2Pd
_chemical_formula_sum 'Cr2 Ni4 Pd2'
_space_group_name_H-M_alt 'P 1'
_space_group_IT_number 1
_cell_length_a 6.534
_cell_length_b 6.534
_cell_length_c 5.271
_cell_angle_alpha 51.70
_cell_angle_beta 51.70
_cell_angle_gamma 90.00
loop_
_space_group_symop_operation_xyz
'x,y,z'
loop_
_atom_site_label
_atom_site_fract_x
_atom_site_fract_y
_atom_site_fract_z
_atom_site_occupancy
Pd1 0.750 0.250 0.500 1
Pd2 0.000 0.000 0.000 1
Ni1 0.601 0.125 0.250 1
Ni2 0.149 0.625 0.250 1
Ni3 0.875 0.851 0.750 1
Ni4 0.375 0.399 0.750 1
Cr1 0.250 0.750 0.500 1
Cr2 0.500 0.500 0.000 1